The following is a GGA-PBE calculation of a relaxed AlFe4Mo crystal, from Alexandria via LeMat-Bulk.

a = 4.7157 Å, b = 4.7157 Å, c = 4.7157 Å
α = 60.00°, β = 60.00°, γ = 60.00°
Atoms (fractional coordinates):
Al: 0.0000 0.0000 0.0000
Fe: 0.1252 0.6249 0.6249
Fe: 0.6249 0.1252 0.6249
Fe: 0.6249 0.6249 0.1252
Fe: 0.6249 0.6249 0.6249
Mo: 0.2500 0.2500 0.2500

As for the formation enthalpy at 0 K: -0.09 eV/atom. The space group is No. 216.



The following is a GGA-PBE calculation of a relaxed AlFeMo2 crystal, from Alexandria via LeMat-Bulk.

a = 8.8900 Å, b = 8.8900 Å, c = 8.8900 Å
α = 17.90°, β = 17.90°, γ = 17.90°
Atoms (fractional coordinates):
Al: 0.0000 0.0000 0.0000
Fe: 0.2576 0.2576 0.2576
Mo: 0.5147 0.5147 0.5147
Mo: 0.7553 0.7553 0.7553

As for the formation enthalpy at 0 K: 0.14 eV/atom. The space group is No. 160.



The following is a GGA-PBE calculation of a relaxed AlFeMo3 crystal, from Alexandria via LeMat-Bulk.

a = 4.4535 Å, b = 4.4535 Å, c = 4.4535 Å
α = 90.00°, β = 90.00°, γ = 90.00°
Atoms (fractional coordinates):
Al: 0.0000 0.0000 0.0000
Fe: 0.5000 0.5000 0.5000
Mo: 0.0000 0.5000 0.5000
Mo: 0.5000 0.0000 0.5000
Mo: 0.5000 0.5000 0.0000

As for the formation enthalpy at 0 K: 0.99 eV/atom. The space group is No. 221. The distance to the lowest polymorph of the same formula comes out at 0 meV/atom.



The following is a GGA-PBE calculation of a relaxed AlFeMo2 crystal, from Alexandria via LeMat-Bulk.

a = 2.7588 Å, b = 2.7588 Å, c = 7.3661 Å
α = 90.00°, β = 90.00°, γ = 90.00°
Atoms (fractional coordinates):
Al: 0.0000 0.0000 0.0000
Fe: 0.5000 0.5000 0.2013
Mo: 0.0000 0.0000 0.4239
Mo: 0.5000 0.5000 0.7289

As for the formation enthalpy at 0 K: -0.07 eV/atom. The space group is No. 99.



The following is a GGA-PBE calculation of a relaxed AlFeNi2Mo crystal, from Alexandria via LeMat-Bulk.

a = 4.4023 Å, b = 4.4023 Å, c = 4.7268 Å
α = 90.00°, β = 90.00°, γ = 90.00°
Atoms (fractional coordinates):
Al: 0.0000 0.0000 0.0000
Fe: 0.5000 0.5000 0.0000
Ni: 0.0000 0.5000 0.5000
Ni: 0.5000 0.0000 0.5000
Mo: 0.0000 0.0000 0.5000

As for the formation enthalpy at 0 K: 1.64 eV/atom. The space group is No. 123.



The following is a GGA-PBE calculation of a relaxed AlFeNiMo crystal, from Alexandria via LeMat-Bulk.

a = 4.1737 Å, b = 4.1737 Å, c = 4.1737 Å
α = 60.00°, β = 60.00°, γ = 60.00°
Atoms (fractional coordinates):
Al: 0.0000 0.0000 0.0000
Fe: 0.7500 0.7500 0.7500
Ni: 0.2500 0.2500 0.2500
Mo: 0.5000 0.5000 0.5000

As for the formation enthalpy at 0 K: -0.16 eV/atom. The space group is No. 216.



The following is a GGA-PBE calculation of a relaxed AlFeMoOs crystal, from Alexandria via LeMat-Bulk.

a = 4.2675 Å, b = 4.2675 Å, c = 4.2675 Å
α = 60.00°, β = 60.00°, γ = 60.00°
Atoms (fractional coordinates):
Al: 0.0000 0.0000 0.0000
Fe: 0.2500 0.2500 0.2500
Mo: 0.5000 0.5000 0.5000
Os: 0.7500 0.7500 0.7500

As for the formation enthalpy at 0 K: -0.16 eV/atom. The space group is No. 216.



The following is a GGA-PBE calculation of a relaxed PaAlFeMo crystal, from Alexandria via LeMat-Bulk.

a = 4.5422 Å, b = 4.5422 Å, c = 4.5422 Å
α = 60.00°, β = 60.00°, γ = 60.00°
Atoms (fractional coordinates):
Pa: 0.0000 0.0000 0.0000
Al: 0.5000 0.5000 0.5000
Fe: 0.2500 0.2500 0.2500
Mo: 0.7500 0.7500 0.7500

As for the formation enthalpy at 0 K: -0.11 eV/atom. The space group is No. 216.



The following is a GGA-PBE calculation of a relaxed AlFeReMo crystal, from Alexandria via LeMat-Bulk.

a = 4.2826 Å, b = 4.2826 Å, c = 4.2826 Å
α = 60.00°, β = 60.00°, γ = 60.00°
Atoms (fractional coordinates):
Al: 0.0000 0.0000 0.0000
Fe: 0.7500 0.7500 0.7500
Re: 0.2500 0.2500 0.2500
Mo: 0.5000 0.5000 0.5000

As for the formation enthalpy at 0 K: -0.11 eV/atom. The space group is No. 216.



The following is a GGA-PBE calculation of a relaxed AlFeMoS2 crystal, from Alexandria via LeMat-Bulk.

a = 4.3942 Å, b = 4.3942 Å, c = 4.3483 Å
α = 90.00°, β = 90.00°, γ = 90.00°
Atoms (fractional coordinates):
Al: 0.0000 0.0000 0.0000
Fe: 0.0000 0.0000 0.5000
Mo: 0.5000 0.5000 0.5000
S: 0.0000 0.5000 0.0000
S: 0.5000 0.0000 0.0000

The space group is No. 123. As for the formation energy without anion corrections: 1.24 eV per atom.



The following is a GGA-PBE calculation of a relaxed Al2FeMoSe crystal, from Alexandria via LeMat-Bulk.

a = 4.5268 Å, b = 4.5268 Å, c = 4.5103 Å
α = 90.00°, β = 90.00°, γ = 90.00°
Atoms (fractional coordinates):
Al: 0.0000 0.5000 0.0000
Al: 0.5000 0.0000 0.0000
Fe: 0.0000 0.0000 0.0000
Mo: 0.5000 0.5000 0.5000
Se: 0.0000 0.0000 0.5000

The space group is No. 123. As for the formation energy without anion corrections: 0.79 eV per atom.



The following is a GGA-PBE calculation of a relaxed AlFe5Si2Mo2 crystal, from Alexandria via LeMat-Bulk.

a = 9.1259 Å, b = 9.1259 Å, c = 2.9222 Å
α = 90.00°, β = 90.00°, γ = 90.00°
Atoms (fractional coordinates):
Al: 0.0000 0.0000 0.0000
Al: 0.5000 0.5000 0.0000
Fe: 0.0000 0.5000 0.5000
Fe: 0.0549 0.2038 0.5000
Fe: 0.2038 0.9451 0.5000
Fe: 0.2962 0.4451 0.5000
Fe: 0.4451 0.7038 0.5000
Fe: 0.5000 0.0000 0.5000
Fe: 0.5549 0.2962 0.5000
Fe: 0.7038 0.5549 0.5000
Fe: 0.7962 0.0549 0.5000
Fe: 0.9451 0.7962 0.5000
Si: 0.1276 0.3724 0.0000
Si: 0.3724 0.8724 0.0000
Si: 0.6276 0.1276 0.0000
Si: 0.8724 0.6276 0.0000
Mo: 0.1765 0.6765 0.0000
Mo: 0.3235 0.1765 0.0000
Mo: 0.6765 0.8235 0.0000
Mo: 0.8235 0.3235 0.0000

The space group is No. 127. As for the formation energy without anion corrections: -0.15 eV per atom.



The following is a GGA-PBE calculation of a relaxed Ti5Al2Fe2Mo crystal, from Alexandria via LeMat-Bulk.

a = 9.8657 Å, b = 9.8657 Å, c = 3.2123 Å
α = 90.00°, β = 90.00°, γ = 90.00°
Atoms (fractional coordinates):
Ti: 0.0000 0.5000 0.0000
Ti: 0.0715 0.2019 0.0000
Ti: 0.2019 0.9285 0.0000
Ti: 0.2981 0.4285 0.0000
Ti: 0.4285 0.7019 0.0000
Ti: 0.5000 0.0000 0.0000
Ti: 0.5715 0.2981 0.0000
Ti: 0.7019 0.5715 0.0000
Ti: 0.7981 0.0715 0.0000
Ti: 0.9285 0.7981 0.0000
Al: 0.1730 0.6730 0.5000
Al: 0.3270 0.1730 0.5000
Al: 0.6730 0.8270 0.5000
Al: 0.8270 0.3270 0.5000
Fe: 0.1285 0.3715 0.5000
Fe: 0.3715 0.8715 0.5000
Fe: 0.6285 0.1285 0.5000
Fe: 0.8715 0.6285 0.5000
Mo: 0.0000 0.0000 0.5000
Mo: 0.5000 0.5000 0.5000

As for the formation enthalpy at 0 K: -0.13 eV/atom. The space group is No. 127.



The following is a GGA-PBE calculation of a relaxed AlV2Fe5Mo2 crystal, from Alexandria via LeMat-Bulk.

a = 9.4124 Å, b = 9.4124 Å, c = 2.8605 Å
α = 90.00°, β = 90.00°, γ = 90.00°
Atoms (fractional coordinates):
Al: 0.0000 0.0000 0.0000
Al: 0.5000 0.5000 0.0000
V: 0.1356 0.3644 0.0000
V: 0.3644 0.8644 0.0000
V: 0.6356 0.1356 0.0000
V: 0.8644 0.6356 0.0000
Fe: 0.0000 0.5000 0.5000
Fe: 0.0407 0.2022 0.5000
Fe: 0.2022 0.9593 0.5000
Fe: 0.2978 0.4593 0.5000
Fe: 0.4593 0.7022 0.5000
Fe: 0.5000 0.0000 0.5000
Fe: 0.5407 0.2978 0.5000
Fe: 0.7022 0.5407 0.5000
Fe: 0.7978 0.0407 0.5000
Fe: 0.9593 0.7978 0.5000
Mo: 0.1793 0.6793 0.0000
Mo: 0.3207 0.1793 0.0000
Mo: 0.6793 0.8207 0.0000
Mo: 0.8207 0.3207 0.0000

As for the formation enthalpy at 0 K: 0.18 eV/atom. The space group is No. 127.



The following is a GGA-PBE calculation of a relaxed AlVFeMo crystal, from Alexandria via LeMat-Bulk.

a = 4.2546 Å, b = 4.2546 Å, c = 4.2546 Å
α = 60.00°, β = 60.00°, γ = 60.00°
Atoms (fractional coordinates):
Al: 0.0000 0.0000 0.0000
V: 0.5000 0.5000 0.5000
Fe: 0.7500 0.7500 0.7500
Mo: 0.2500 0.2500 0.2500

As for the formation enthalpy at 0 K: -0.12 eV/atom. The space group is No. 216.



The following is a GGA-PBE calculation of a relaxed Al3FeN crystal, from Alexandria via LeMat-Bulk.

a = 3.9329 Å, b = 3.9329 Å, c = 3.9329 Å
α = 90.00°, β = 90.00°, γ = 90.00°
Atoms (fractional coordinates):
Al: 0.0000 0.0000 0.5000
Al: 0.0000 0.5000 0.0000
Al: 0.5000 0.0000 0.0000
Fe: 0.5000 0.5000 0.5000
N: 0.0000 0.0000 0.0000

The space group is No. 221. As for the formation energy without anion corrections: -0.08 eV per atom. The distance to the lowest polymorph of the same formula comes out at 0 meV/atom.



The following is a GGA-PBE calculation of a relaxed Al2FeN crystal, from Alexandria via LeMat-Bulk.

a = 5.0829 Å, b = 5.0829 Å, c = 5.0829 Å
α = 108.87°, β = 108.87°, γ = 110.67°
Atoms (fractional coordinates):
Al: 0.0437 0.1250 0.4187
Al: 0.3750 0.9563 0.0813
Al: 0.7063 0.6250 0.5813
Al: 0.8750 0.2937 0.9187
Fe: 0.2500 0.7500 0.5000
Fe: 0.5000 0.5000 0.0000
N: 0.0000 0.0000 0.0000
N: 0.7500 0.2500 0.5000

The space group is No. 122. As for the formation energy without anion corrections: -0.09 eV per atom.



The following is a GGA-PBE calculation of a relaxed Al3FeN crystal, from Alexandria via LeMat-Bulk.

a = 4.4945 Å, b = 4.4945 Å, c = 4.4945 Å
α = 90.00°, β = 90.00°, γ = 90.00°
Atoms (fractional coordinates):
Al: 0.0000 0.0000 0.5000
Al: 0.0000 0.5000 0.0000
Al: 0.5000 0.0000 0.0000
Fe: 0.0000 0.0000 0.0000
N: 0.5000 0.5000 0.5000

The space group is No. 221. As for the formation energy without anion corrections: 0.99 eV per atom. The distance to the lowest polymorph of the same formula comes out at 1079 meV/atom.



The following is a GGA-PBE calculation of a relaxed Al2FeN3 crystal, from Alexandria via LeMat-Bulk.

a = 5.4974 Å, b = 5.4974 Å, c = 5.0823 Å
α = 90.00°, β = 90.00°, γ = 60.13°
Atoms (fractional coordinates):
Al: 0.0033 0.3327 0.0000
Al: 0.3327 0.0033 0.5000
Al: 0.6673 0.9967 0.0000
Al: 0.9967 0.6673 0.5000
Fe: 0.3307 0.6693 0.0067
Fe: 0.6693 0.3307 0.5067
N: 0.0124 0.3336 0.6244
N: 0.3189 0.6811 0.6099
N: 0.3336 0.0124 0.1244
N: 0.6664 0.9876 0.6244
N: 0.6811 0.3189 0.1099
N: 0.9876 0.6664 0.1244

The space group is No. 36. As for the formation energy without anion corrections: -0.75 eV per atom.



The following is a GGA-PBE calculation of a relaxed NaAlFeN2 crystal, from Alexandria via LeMat-Bulk.

a = 3.9955 Å, b = 3.9955 Å, c = 4.5623 Å
α = 90.00°, β = 90.00°, γ = 90.00°
Atoms (fractional coordinates):
Na: 0.0000 0.0000 0.0000
Al: 0.0000 0.0000 0.5000
Fe: 0.5000 0.5000 0.5000
N: 0.0000 0.5000 0.0000
N: 0.5000 0.0000 0.0000

The space group is No. 123. As for the formation energy without anion corrections: 2.62 eV per atom.



no.,size of the total moment (μB/cell)
1,5.99
2,0.63
3,0.00
4,0.00
5,0.05
6,1.29
7,0.70
8,0.76
9,0.00
10,0.10
11,4.53
12,1.39
13,0.00
14,2.00
15,1.79
16,1.81
17,4.69
18,2.67
19,9.95
20,0.44